Density functional theory data (GGA-PBE) for a geometry-optimized CaCdIn structure.

For the volume, the calculation gives 323.18 Å³/cell. For the calculated formation energy, the calculation gives -0.40 eV/atom.

The structure belongs to space group C2/m (No. 12); the cell edges are 11.4683, 4.9496 and 7.5693 Å and the angles 90.00°, 131.22° and 90.00°. The distinct sites, in fractional coordinates, are Ca at (0.0315, 0.0000, 0.2804), Cd at (0.1631, 0.5000, 0.1233) and In at (0.1655, 0.5000, 0.7062).